# 1
! Th3TiPd12 | Alexandria | PBE | relaxed; values from VASP
! Total DFT energy (no corrections) = -6.6081 eV per atom
! Space group = No. 123
&SYSTEM
  ibrav = 0, nat = 16, ntyp = 3
/
ATOMIC_SPECIES
Pd 106.42 Pd.upf
Th 232.04 Th.upf
Ti 47.87 Ti.upf
CELL_PARAMETERS angstrom
-2.132 3.182 1.650
-3.066 -0.623 -2.758
-7.330 -10.350 10.488
ATOMIC_POSITIONS crystal
Pd 0.500 0.500 0.757
Pd 0.000 0.500 0.113
Pd 0.500 0.000 0.113
Pd 0.500 0.500 0.500
Pd 0.500 0.000 0.887
Pd 0.500 0.500 0.000
Pd 0.500 0.000 0.371
Pd 0.500 0.500 0.243
Pd 0.000 0.500 0.887
Pd 0.500 0.000 0.629
Pd 0.000 0.500 0.629
Pd 0.000 0.500 0.371
Th 0.000 0.000 0.500
Th 0.000 0.000 0.239
Th 0.000 0.000 0.761
Ti 0.000 0.000 0.000



# 2
! Th4TiPd15 | Alexandria | PBE | relaxed; values from VASP
! Total DFT energy (no corrections) = -6.6161 eV per atom
! Space group = No. 123
&SYSTEM
  ibrav = 0, nat = 20, ntyp = 3
/
ATOMIC_SPECIES
Th 232.04 Th.upf
Pd 106.42 Pd.upf
Ti 47.87 Ti.upf
CELL_PARAMETERS angstrom
4.179 0.000 0.000
0.000 4.179 0.000
0.000 0.000 20.701
ATOMIC_POSITIONS crystal
Th 0.000 0.000 0.810
Th 0.000 0.000 0.397
Th 0.000 0.000 0.603
Th 0.000 0.000 0.190
Pd 0.500 0.500 0.807
Pd 0.500 0.500 0.398
Pd 0.500 0.500 0.193
Pd 0.500 0.500 0.602
Pd 0.000 0.500 0.090
Pd 0.500 0.000 0.295
Pd 0.500 0.000 0.910
Pd 0.000 0.500 0.705
Pd 0.500 0.000 0.090
Pd 0.500 0.500 0.000
Pd 0.000 0.500 0.295
Pd 0.500 0.000 0.705
Pd 0.500 0.000 0.500
Pd 0.000 0.500 0.910
Pd 0.000 0.500 0.500
Ti 0.000 0.000 0.000



# 3
! ThTiPd | Alexandria | PBE | relaxed; values from VASP
! Total DFT energy (no corrections) = -7.0965 eV per atom
! Space group = No. 187
&SYSTEM
  ibrav = 0, nat = 3, ntyp = 3
/
ATOMIC_SPECIES
Th 232.04 Th.upf
Ti 47.87 Ti.upf
Pd 106.42 Pd.upf
CELL_PARAMETERS angstrom
-2.913 2.847 0.813
-2.962 -3.192 0.565
2.358 1.437 3.414
ATOMIC_POSITIONS crystal
Th 0.667 0.667 0.333
Ti 0.167 0.000 0.000
Pd 0.167 0.333 0.667



# 4
! ThTiPd2 | Alexandria | PBE | relaxed; values from VASP
! Total DFT energy (no corrections) = -6.8980 eV per atom
! Space group = No. 123
&SYSTEM
  ibrav = 0, nat = 4, ntyp = 3
/
ATOMIC_SPECIES
Pd 106.42 Pd.upf
Th 232.04 Th.upf
Ti 47.87 Ti.upf
CELL_PARAMETERS angstrom
-0.287 -0.778 3.553
3.997 -2.486 -0.221
2.468 3.875 1.048
ATOMIC_POSITIONS crystal
Pd 0.000 0.500 0.000
Pd 0.000 0.000 0.500
Th 0.500 0.000 0.000
Ti 0.500 0.500 0.500



# 5
! ThTiPd2 | Alexandria | PBE | relaxed; values from VASP
! Total DFT energy (no corrections) = -7.0227 eV per atom
! Space group = No. 166
&SYSTEM
  ibrav = 0, nat = 4, ntyp = 3
/
ATOMIC_SPECIES
Pd 106.42 Pd.upf
Th 232.04 Th.upf
Ti 47.87 Ti.upf
CELL_PARAMETERS angstrom
4.488 0.000 0.000
2.244 3.887 0.000
2.244 1.296 4.829
ATOMIC_POSITIONS crystal
Pd 0.212 0.212 0.365
Pd 0.788 0.788 0.635
Th 0.000 0.000 0.000
Ti 0.500 0.500 0.500



# 6
! Th2TiPd9 | Alexandria | PBE | relaxed; values from VASP
! Total DFT energy (no corrections) = -6.5914 eV per atom
! Space group = No. 123
&SYSTEM
  ibrav = 0, nat = 12, ntyp = 3
/
ATOMIC_SPECIES
Ti 47.87 Ti.upf
Th 232.04 Th.upf
Pd 106.42 Pd.upf
CELL_PARAMETERS angstrom
4.151 0.000 0.000
0.000 4.151 0.000
0.000 0.000 12.244
ATOMIC_POSITIONS crystal
Ti 0.000 0.000 0.000
Th 0.000 0.000 0.324
Th 0.000 0.000 0.676
Pd 0.000 0.500 0.848
Pd 0.500 0.500 0.674
Pd 0.500 0.000 0.848
Pd 0.000 0.500 0.152
Pd 0.000 0.500 0.500
Pd 0.500 0.500 0.000
Pd 0.500 0.000 0.500
Pd 0.500 0.500 0.326
Pd 0.500 0.000 0.152



# 7
! ThTlPd2 | Alexandria | PBE | relaxed; values from VASP
! Total DFT energy (no corrections) = -5.5183 eV per atom
! Space group = No. 123
&SYSTEM
  ibrav = 0, nat = 4, ntyp = 3
/
ATOMIC_SPECIES
Tl 204.38 Tl.upf
Th 232.04 Th.upf
Pd 106.42 Pd.upf
CELL_PARAMETERS angstrom
-3.562 0.148 0.819
0.597 -2.055 2.967
1.100 5.729 3.746
ATOMIC_POSITIONS crystal
Tl 0.500 0.500 0.500
Th 0.500 0.500 0.000
Pd 0.000 0.000 0.776
Pd 0.000 0.000 0.224



Number 1: energy relative to the elements -0.829 eV per atom, calculated volume 17.9 Å³/atom. Number 2: energy relative to the elements -0.843 eV per atom, calculated volume 18.1 Å³/atom. Number 3: energy relative to the elements -0.261 eV per atom, calculated volume 23.1 Å³/atom. Number 4: energy relative to the elements -0.473 eV per atom, calculated volume 20.3 Å³/atom. Number 5: energy relative to the elements -0.598 eV per atom, calculated volume 21.1 Å³/atom. Number 6: energy relative to the elements -0.802 eV per atom, calculated volume 17.6 Å³/atom. Number 7: energy relative to the elements -0.475 eV per atom, calculated volume 23.2 Å³/atom.